[1]
Below is TlCd8Hg5 after structural relaxation, with properties calculated at the PBE level.

Summary:
Density of states at the Fermi level in states/eV/f.u.: 5.59
Calculated formation energy in eV per atom: 0.03

POSCAR file:
```
TlCd8Hg5
1.0
-4.9065 -4.4861 3.8716
6.4716 -3.8964 -1.4576
1.6979 6.2134 4.2069
Tl Cd Hg
1 8 5
direct
0.5000 0.7500 0.2500
0.2428 0.3671 0.3025
0.9354 0.8757 0.6329
0.7417 0.5111 0.0963
0.5852 0.2306 0.4889
0.4148 0.9037 0.6454
0.0646 0.6975 0.9404
0.7572 0.0596 0.1243
0.2583 0.3546 0.7694
0.6197 0.6513 0.7511
0.0998 0.9684 0.3487
0.3803 0.1314 0.0316
0.0000 0.5000 0.5000
0.9002 0.2489 0.8686
```

[2]
Below is Tl15Cd4Hg after structural relaxation, with properties calculated at the PBE level.

Summary:
Density of states at the Fermi level in states/eV/f.u.: 8.28
Calculated formation energy in eV per atom: 0.04

POSCAR file:
```
Tl15Cd4Hg
1.0
-2.0270 -3.8586 -2.1624
-1.3791 -1.7087 4.3419
-21.1280 12.1748 -1.9197
Tl Cd Hg
15 4 1
direct
0.5000 0.5000 0.0000
0.5000 0.5000 0.2016
0.5000 0.5000 0.3999
0.5000 0.5000 0.6001
0.5000 0.5000 0.7984
0.5000 0.0000 0.1022
0.5000 0.0000 0.3001
0.5000 0.0000 0.5000
0.5000 0.0000 0.6999
0.5000 0.0000 0.8978
0.0000 0.5000 0.1022
0.0000 0.5000 0.3001
0.0000 0.5000 0.5000
0.0000 0.5000 0.6999
0.0000 0.5000 0.8978
0.0000 0.0000 0.2012
0.0000 0.0000 0.4001
0.0000 0.0000 0.5999
0.0000 0.0000 0.7988
0.0000 0.0000 0.0000
```

[3]
Below is TlCdHg2 after structural relaxation, with properties calculated at the PBE level.

Summary:
Density of states at the Fermi level in states/eV/f.u.: 1.19
Calculated formation energy in eV per atom: 0.01

POSCAR file:
```
TlCdHg2
1.0
-5.4429 -0.5765 -2.2138
-3.7051 -2.2641 4.0006
3.8229 4.4967 0.1521
Tl Hg Cd
1 2 1
direct
0.2500 0.7500 0.5000
0.0000 0.0000 0.0000
0.5000 0.5000 0.0000
0.7500 0.2500 0.5000
```

[4]
Below is TlCd6Hg2 after structural relaxation, with properties calculated at the PBE level.

Summary:
Density of states at the Fermi level in states/eV/f.u.: 3.01
Calculated formation energy in eV per atom: 0.04

POSCAR file:
```
TlCd6Hg2
1.0
3.2351 0.0381 0.0364
1.5697 8.7034 2.1132
1.5697 2.4926 8.6024
Tl Cd Hg
1 6 2
direct
0.0000 0.0000 0.0000
0.3300 0.0063 0.3465
0.6700 0.9937 0.6535
0.6700 0.6535 0.9937
0.5000 0.3269 0.6731
0.5000 0.6731 0.3269
0.3300 0.3465 0.0063
0.1503 0.3512 0.3512
0.8497 0.6488 0.6488
```

[5]
Below is TlCdHg after structural relaxation, with properties calculated at the PBE level.

Summary:
Density of states at the Fermi level in states/eV/f.u.: 0.40
Calculated formation energy in eV per atom: 0.01

POSCAR file:
```
TlCdHg
1.0
5.2309 0.0000 0.0000
-2.6154 4.5301 0.0000
0.0000 0.0000 3.4081
Tl Hg Cd
1 1 1
direct
0.3333 0.6667 0.6677
0.6667 0.3333 0.1725
0.0000 0.0000 0.1598
```

[6]
Below is TlCd8Hg2 after structural relaxation, with properties calculated at the PBE level.

Summary:
Density of states at the Fermi level in states/eV/f.u.: 3.96
Calculated formation energy in eV per atom: 0.05

POSCAR file:
```
TlCd8Hg2
1.0
-1.3097 1.9632 4.9099
-4.4032 -3.1759 5.8370
4.6349 -5.1196 6.1542
Tl Cd Hg
1 8 2
direct
0.5000 0.0000 0.0000
0.7410 0.0995 0.2779
0.7410 0.3774 0.7220
0.2091 0.5422 0.0000
0.5000 0.8033 0.3935
0.5000 0.1967 0.6065
0.7909 0.4578 0.0000
0.2590 0.6226 0.2779
0.2590 0.9005 0.7220
0.0000 0.3194 0.3612
0.0000 0.6806 0.6388
```

[7]
Below is Tl2Cd5Hg4 after structural relaxation, with properties calculated at the PBE level.

Summary:
Density of states at the Fermi level in states/eV/f.u.: 3.28
Calculated formation energy in eV per atom: 0.02

POSCAR file:
```
Tl2Cd5Hg4
1.0
-1.5405 -2.8370 -5.2986
3.5470 1.0972 -5.2514
2.8609 -8.5216 0.0981
Tl Cd Hg
2 5 4
direct
0.3450 0.5870 0.7230
0.6550 0.4130 0.2770
0.2609 0.1169 0.8470
0.7391 0.8831 0.1530
0.0000 0.5000 0.5000
0.7753 0.1169 0.8470
0.2247 0.8831 0.1530
0.2723 0.9754 0.4800
0.7277 0.0246 0.5200
0.7651 0.6025 0.8674
0.2349 0.3975 0.1326
```

[8]
Below is Tl2Cd3Hg3 after structural relaxation, with properties calculated at the PBE level.

Summary:
Density of states at the Fermi level in states/eV/f.u.: 2.91
Calculated formation energy in eV per atom: 0.04

POSCAR file:
```
Tl2Cd3Hg3
1.0
3.4556 0.0000 0.0000
-1.7278 8.7936 0.0000
0.0000 0.0000 14.5557
Tl Cd Hg
4 6 6
direct
0.7155 0.4309 0.5945
0.2845 0.5691 0.0945
0.7155 0.4309 0.9055
0.2845 0.5691 0.4055
0.9420 0.8840 0.0804
0.0580 0.1160 0.5804
0.9420 0.8840 0.4196
0.0580 0.1160 0.9196
0.7002 0.4004 0.2500
0.2998 0.5996 0.7500
0.5947 0.1894 0.0958
0.4053 0.8106 0.5958
0.5947 0.1894 0.4042
0.4053 0.8106 0.9042
0.4582 0.9164 0.2500
0.5418 0.0836 0.7500
```

[9]
Below is TlCd4Hg after structural relaxation, with properties calculated at the PBE level.

Summary:
Density of states at the Fermi level in states/eV/f.u.: 2.39
Calculated formation energy in eV per atom: 0.05

POSCAR file:
```
TlCd4Hg
1.0
-0.2130 -3.8550 -4.5991
1.1664 -5.8206 0.9046
-4.4328 -4.0372 -0.3308
Cd Hg Tl
4 1 1
direct
0.1254 0.6249 0.6249
0.6249 0.6249 0.6249
0.6249 0.1254 0.6249
0.6249 0.6249 0.1254
0.2500 0.2500 0.2500
0.0000 0.0000 0.0000
```

[10]
Below is TlCd4Hg8 after structural relaxation, with properties calculated at the PBE level.

Summary:
Density of states at the Fermi level in states/eV/f.u.: 2.47
Calculated formation energy in eV per atom: 0.02

POSCAR file:
```
TlCd4Hg8
1.0
-2.8577 0.1915 1.9563
2.3750 -5.7049 7.1024
3.0527 8.1898 6.7322
Tl Cd Hg
1 4 8
direct
0.5211 0.0141 0.9438
0.3395 0.8919 0.4291
0.8421 0.5977 0.7180
0.1648 0.4780 0.1924
0.6580 0.0997 0.5842
0.1477 0.2881 0.4166
0.5246 0.7747 0.1761
0.4574 0.3272 0.7580
0.9705 0.6129 0.4461
0.8449 0.0842 0.2260
0.1951 0.6585 0.9513
0.2033 0.8745 0.7188
0.8352 0.3204 0.0092
```

[11]
Below is TlCd2Hg4 after structural relaxation, with properties calculated at the PBE level.

Summary:
Density of states at the Fermi level in states/eV/f.u.: 3.39
Calculated formation energy in eV per atom: 0.16

POSCAR file:
```
TlCd2Hg4
1.0
-1.4418 -2.4655 -5.1448
4.7113 -3.5071 0.3604
-2.4249 -8.0725 1.1828
Tl Hg Cd
1 4 2
direct
0.0000 0.0000 0.0000
0.7945 0.7945 0.4110
0.2055 0.2055 0.5890
0.0000 0.5000 0.0000
0.5000 0.0000 0.0000
0.5989 0.5989 0.8022
0.4011 0.4011 0.1978
```

[12]
Below is Tl2CdHg after structural relaxation, with properties calculated at the PBE level.

Summary:
Density of states at the Fermi level in states/eV/f.u.: 1.67
Calculated formation energy in eV per atom: 0.07

POSCAR file:
```
Tl2CdHg
1.0
-2.1657 2.1846 3.3818
-3.8424 -2.2679 -0.9956
-0.0096 -8.2982 8.4442
Tl Hg Cd
4 2 2
direct
0.6242 0.1250 0.2500
0.1258 0.6250 0.2500
0.3750 0.3758 0.7500
0.8750 0.8742 0.7500
0.0000 0.0000 0.0000
0.7500 0.2500 0.5000
0.5000 0.5000 0.0000
0.2500 0.7500 0.5000
```

[13]
Below is Tl2Cd2Hg7 after structural relaxation, with properties calculated at the PBE level.

Summary:
Density of states at the Fermi level in states/eV/f.u.: 2.82
Calculated formation energy in eV per atom: 0.00

POSCAR file:
```
Tl2Cd2Hg7
1.0
-3.7811 1.5454 1.7409
0.0024 -3.2208 8.5266
2.7235 5.1268 7.0268
Tl Cd Hg
2 2 7
direct
0.0000 0.6354 0.3646
0.5000 0.3223 0.6777
0.6882 0.9283 0.6954
0.3118 0.3046 0.0717
0.8413 0.0458 0.2716
0.8373 0.5146 0.8107
0.5000 0.9462 0.0538
0.6622 0.4573 0.2183
0.3378 0.7817 0.5427
0.1587 0.7284 0.9542
0.1627 0.1893 0.4854
```

[14]
Below is Tl3Cd4Hg8 after structural relaxation, with properties calculated at the PBE level.

Summary:
Density of states at the Fermi level in states/eV/f.u.: 7.09
Calculated formation energy in eV per atom: 0.01

POSCAR file:
```
Tl3Cd4Hg8
1.0
9.0195 0.0000 5.2074
3.0065 8.5036 5.2074
0.0000 0.0000 10.4148
Tl Cd Hg
6 8 16
direct
0.7160 0.7160 0.2840
0.2840 0.2840 0.7160
0.7160 0.2840 0.2840
0.2840 0.7160 0.7160
0.7160 0.2840 0.7160
0.2840 0.7160 0.2840
0.0000 0.0000 0.0000
0.5000 0.5000 0.0000
0.0000 0.0000 0.5000
0.5000 0.0000 0.0000
0.0000 0.5000 0.5000
0.5000 0.0000 0.5000
0.0000 0.5000 0.0000
0.5000 0.5000 0.5000
0.6413 0.1196 0.1196
0.3587 0.8804 0.8804
0.1196 0.1196 0.6413
0.1196 0.1196 0.1196
0.8804 0.8804 0.3587
0.8804 0.8804 0.8804
0.1196 0.6413 0.1196
0.8804 0.3587 0.8804
0.9806 0.3398 0.3398
0.0194 0.6602 0.6602
0.3398 0.3398 0.9806
0.3398 0.3398 0.3398
0.6602 0.6602 0.0194
0.6602 0.6602 0.6602
0.3398 0.9806 0.3398
0.6602 0.0194 0.6602
```

[15]
Below is TlCdHg2 after structural relaxation, with properties calculated at the PBE level.

Summary:
Density of states at the Fermi level in states/eV/f.u.: 1.29
Calculated formation energy in eV per atom: 0.02

POSCAR file:
```
TlCdHg2
1.0
-5.2598 0.8953 -0.3320
-3.1456 -0.9582 4.2147
-2.1924 4.0729 2.6798
Tl Hg Cd
1 2 1
direct
0.7500 0.7500 0.7500
0.0000 0.0000 0.0000
0.2500 0.2500 0.2500
0.5000 0.5000 0.5000
```

[16]
Below is Tl3Cd4Hg8 after structural relaxation, with properties calculated at the PBE level.

Summary:
Density of states at the Fermi level in states/eV/f.u.: 5.77
Calculated formation energy in eV per atom: 0.05

POSCAR file:
```
Tl3Cd4Hg8
1.0
10.4212 -0.1133 -0.1627
-5.1094 7.0352 -0.6130
-5.1094 -3.0171 6.3849
Tl Cd Hg
3 4 8
direct
0.5000 0.5000 0.0000
0.5000 0.0000 0.5000
0.5000 0.5000 0.5000
0.5000 0.0000 0.0000
0.0000 0.5000 0.0000
0.0000 0.0000 0.0000
0.0000 0.0000 0.5000
0.4987 0.2379 0.2379
0.0000 0.7400 0.2600
0.0038 0.2867 0.2867
0.5000 0.7562 0.2438
0.5000 0.2438 0.7562
0.9962 0.7133 0.7133
0.0000 0.2600 0.7400
0.5013 0.7621 0.7621
```

[17]
Below is Tl10CdHg4 after structural relaxation, with properties calculated at the PBE level.

Summary:
Density of states at the Fermi level in states/eV/f.u.: 5.92
Calculated formation energy in eV per atom: 0.05

POSCAR file:
```
Tl10CdHg4
1.0
-3.6537 6.3643 1.0881
-8.1797 0.2382 -3.5690
-4.9235 0.2247 7.4438
Tl Cd Hg
10 1 4
direct
0.2500 0.5000 0.5000
0.6512 0.2991 0.9004
0.0497 0.0996 0.2991
0.4484 0.9004 0.7009
0.8507 0.7009 0.0996
0.3488 0.7009 0.0996
0.7500 0.5000 0.5000
0.1493 0.2991 0.9004
0.5516 0.0996 0.2991
0.9503 0.9004 0.7009
0.0000 0.0000 0.0000
0.4002 0.7999 0.3997
0.7999 0.6003 0.7999
0.2001 0.3997 0.2001
0.5998 0.2001 0.6003
```

[18]
Below is TlCdHg after structural relaxation, with properties calculated at the PBE level.

Summary:
Density of states at the Fermi level in states/eV/f.u.: 1.23
Calculated formation energy in eV per atom: 0.05

POSCAR file:
```
TlCdHg
1.0
-2.2721 1.4534 4.2467
-3.0223 -3.1867 2.4535
1.4397 -1.9384 4.4135
Tl Hg Cd
1 1 1
direct
0.0000 0.0000 0.0000
0.7500 0.7500 0.7500
0.5000 0.5000 0.5000
```

[19]
Below is TlCd2Hg2 after structural relaxation, with properties calculated at the PBE level.

Summary:
Density of states at the Fermi level in states/eV/f.u.: 1.80
Calculated formation energy in eV per atom: 0.02

POSCAR file:
```
TlCd2Hg2
1.0
-3.2456 4.4199 6.6693
-7.5002 -4.1868 -0.8752
1.1213 -2.4640 2.1786
Tl Hg Cd
2 4 4
direct
0.0000 0.0000 0.0000
0.5000 0.5000 0.0000
0.1750 0.6750 0.5000
0.6750 0.8250 0.5000
0.8250 0.3250 0.5000
0.3250 0.1750 0.5000
0.3756 0.8756 0.0000
0.8756 0.6244 0.0000
0.6244 0.1244 0.0000
0.1244 0.3756 0.0000
```

[20]
Below is TlCdHg2 after structural relaxation, with properties calculated at the PBE level.

Summary:
Density of states at the Fermi level in states/eV/f.u.: 1.36
Calculated formation energy in eV per atom: 0.01

POSCAR file:
```
TlCdHg2
1.0
-2.5151 3.2315 8.9473
-2.4501 -0.3562 9.5233
0.6284 1.5676 9.6938
Tl Hg Cd
1 2 1
direct
0.2500 0.2500 0.2500
0.0050 0.0050 0.0050
0.4950 0.4950 0.4950
0.7500 0.7500 0.7500
```

[21]
Below is Tl3CdHg4 after structural relaxation, with properties calculated at the PBE level.

Summary:
Density of states at the Fermi level in states/eV/f.u.: 3.26
Calculated formation energy in eV per atom: 0.01

POSCAR file:
```
Tl3CdHg4
1.0
-1.8043 -2.9631 0.4787
4.0667 -2.7110 -1.4529
3.9430 -0.4749 11.9230
Tl Cd Hg
3 1 4
direct
0.0000 0.5000 0.6694
0.0000 0.0000 0.3283
0.5000 0.0000 0.8328
0.5000 0.5000 0.1635
0.5000 0.5000 0.4182
0.0000 0.5000 0.9379
0.0000 0.0000 0.0808
0.5000 0.0000 0.5691
```

[22]
Below is TlCd2Hg after structural relaxation, with properties calculated at the PBE level.

Summary:
Density of states at the Fermi level in states/eV/f.u.: 0.87
Calculated formation energy in eV per atom: 0.02

POSCAR file:
```
TlCd2Hg
1.0
4.1181 -1.0491 -0.1550
-0.9027 5.7928 -0.9787
-0.2927 -2.6811 9.6231
Tl Cd Hg
2 4 2
direct
0.1120 0.7311 0.9321
0.8880 0.2689 0.0679
0.6167 0.7346 0.6731
0.3833 0.2654 0.3269
0.6505 0.7947 0.2154
0.3495 0.2053 0.7846
0.1222 0.7448 0.4358
0.8778 0.2552 0.5642
```